1.
First-principles (PBE-GGA) data for a relaxed structure of Ba2SbTeMo, as listed in the Alexandria database.

a b c (Å): 6.6060 6.6060 5.1860
angles (deg): 90.00 90.00 90.00
Atoms (fractional coordinates):
Sb1 0.0000 0.0000 0.0000
Mo1 0.0000 0.0000 0.5000
Te1 0.5000 0.5000 0.5000
Ba1 0.0000 0.5000 0.0000
Ba2 0.5000 0.0000 0.0000

Output
uncorrected formation energy: -0.3 eV/f.u.

---

2.
First-principles (PBE-GGA) data for a relaxed structure of BaTlSb2Mo, as listed in the Alexandria database.

a b c (Å): 5.3565 5.4620 5.3565
angles (deg): 90.00 90.00 90.00
Atoms (fractional coordinates):
Mo1 0.0000 0.0000 0.0000
Sb1 0.0000 0.0000 0.5000
Sb2 0.5000 0.0000 0.0000
Tl1 0.0000 0.5000 0.0000
Ba1 0.5000 0.5000 0.5000

Output
uncorrected formation energy: -0.4 eV/f.u.

---

3.
First-principles (PBE-GGA) data for a relaxed structure of BaSc2Mo, as listed in the Alexandria database.

a b c (Å): 3.4076 3.4065 10.0268
angles (deg): 70.03 90.00 90.00
Atoms (fractional coordinates):
Ba1 0.5000 0.2500 0.2500
Mo1 0.5000 0.7500 0.7500
Sc1 0.0000 0.0854 0.9144
Sc2 0.0000 0.4146 0.5856

Output
energy relative to the elements: 0.29 eV per atom
polymorph energy (0 for the lowest one): 0.000 eV/atom

---

4.
First-principles (PBE-GGA) data for a relaxed structure of BaSc2Mo, as listed in the Alexandria database.

a b c (Å): 5.1501 5.1501 5.1501
angles (deg): 60.00 60.00 60.00
Atoms (fractional coordinates):
Sc1 0.2500 0.2500 0.2500
Sc2 0.7500 0.7500 0.7500
Mo1 0.0000 0.0000 0.0000
Ba1 0.5000 0.5000 0.5000

Output
energy relative to the elements: 0.65 eV per atom
polymorph energy (0 for the lowest one): 0.358 eV/atom

---

5.
First-principles (PBE-GGA) data for a relaxed structure of BaSc2Mo, as listed in the Alexandria database.

a b c (Å): 5.1883 5.1883 5.1883
angles (deg): 60.00 60.00 60.00
Atoms (fractional coordinates):
Ba1 0.5000 0.5000 0.5000
Mo1 0.7500 0.7500 0.7500
Sc1 0.0000 0.0000 0.0000
Sc2 0.2500 0.2500 0.2500

Output
energy relative to the elements: 0.79 eV per atom
polymorph energy (0 for the lowest one): 0.502 eV/atom

---

6.
First-principles (PBE-GGA) data for a relaxed structure of BaSc2Mo, as listed in the Alexandria database.

a b c (Å): 11.0637 11.0637 11.0637
angles (deg): 17.56 17.56 17.56
Atoms (fractional coordinates):
Sc1 0.8925 0.8925 0.8925
Sc2 0.1075 0.1075 0.1075
Mo1 0.5000 0.5000 0.5000
Ba1 0.0000 0.0000 0.0000

Output
energy relative to the elements: 0.45 eV per atom
polymorph energy (0 for the lowest one): 0.162 eV/atom

---

7.
First-principles (PBE-GGA) data for a relaxed structure of BaSc2Mo, as listed in the Alexandria database.

a b c (Å): 10.6395 10.6395 10.6395
angles (deg): 18.64 18.64 18.64
Atoms (fractional coordinates):
Ba1 0.2500 0.2500 0.2500
Mo1 0.7500 0.7500 0.7500
Sc1 0.0224 0.0224 0.0224
Sc2 0.4776 0.4776 0.4776

Output
energy relative to the elements: 0.45 eV per atom
polymorph energy (0 for the lowest one): 0.159 eV/atom

---

8.
First-principles (PBE-GGA) data for a relaxed structure of BaSc2Mo, as listed in the Alexandria database.

a b c (Å): 3.1995 3.1995 10.6129
angles (deg): 90.00 90.00 107.47
Atoms (fractional coordinates):
Ba1 0.0000 0.0000 0.5345
Mo1 0.5000 0.5000 0.7830
Sc1 0.0000 0.0000 0.9684
Sc2 0.5000 0.5000 0.2142

Output
energy relative to the elements: 0.65 eV per atom
polymorph energy (0 for the lowest one): 0.358 eV/atom

---

9.
First-principles (PBE-GGA) data for a relaxed structure of BaSc2Mo, as listed in the Alexandria database.

a b c (Å): 5.0858 5.0858 7.4683
angles (deg): 88.01 88.01 36.22
Atoms (fractional coordinates):
Ba1 0.5005 0.5005 0.5260
Mo1 0.7410 0.7410 0.8516
Sc1 0.0016 0.0016 0.9584
Sc2 0.2569 0.2569 0.1640

Output
energy relative to the elements: 0.53 eV per atom
polymorph energy (0 for the lowest one): 0.239 eV/atom

---

10.
First-principles (PBE-GGA) data for a relaxed structure of BaSc2Mo, as listed in the Alexandria database.

a b c (Å): 4.8586 4.8577 4.1219
angles (deg): 90.00 90.00 90.00
Atoms (fractional coordinates):
Ba1 0.5000 0.0000 0.5000
Mo1 0.0000 0.5000 0.5000
Sc1 0.0000 0.0000 0.0000
Sc2 0.5000 0.5000 0.0000

Output
energy relative to the elements: 0.77 eV per atom
polymorph energy (0 for the lowest one): 0.480 eV/atom

---

11.
First-principles (PBE-GGA) data for a relaxed structure of BaSc2Mo, as listed in the Alexandria database.

a b c (Å): 3.7132 3.7132 8.1746
angles (deg): 90.00 90.00 90.00
Atoms (fractional coordinates):
Ba1 0.0000 0.0000 0.5422
Mo1 0.5000 0.5000 0.8362
Sc1 0.0000 0.0000 0.9555
Sc2 0.5000 0.5000 0.1661

Output
energy relative to the elements: 0.43 eV per atom
polymorph energy (0 for the lowest one): 0.142 eV/atom

---

12.
First-principles (PBE-GGA) data for a relaxed structure of BaSc2Mo, as listed in the Alexandria database.

a b c (Å): 6.4541 6.4541 6.4541
angles (deg): 149.56 124.12 64.97
Atoms (fractional coordinates):
Ba1 0.7500 0.2500 0.5000
Mo1 0.2500 0.7500 0.5000
Sc1 0.0569 0.0569 0.0000
Sc2 0.4431 0.4431 0.0000

Output
energy relative to the elements: 0.57 eV per atom
polymorph energy (0 for the lowest one): 0.281 eV/atom

---

Table of D(E_F) (states/eV/f.u.), in record order: 3.3 4.3 6.5 2.5 5.5 3.6 5.3 7.6 3.6 4.3 3.6 5.0
Table of total moment (μB/cell), in record order: 3.99 0.00 0.00 0.02 0.13 0.00 0.00 0.20 0.00 0.01 0.00 0.00